No. 1
First-principles (PBE) data for a relaxed BaNa2LiH crystal, as listed in Alexandria via LeMat-Bulk.

Computed properties:
Total magnetic moment ... 0.00 μB/cell
DFT total energy ... -1.981 eV/atom
V ... 30.77 Å³ per atom

a = 5.3512 Å, b = 5.3512 Å, c = 5.3721 Å
α = 90.00°, β = 90.00°, γ = 90.00°
Space group P4/mmm (No. 123)
Asymmetric unit:
Ba  0.0000  0.0000  0.0000
Na  0.0000  0.5000  0.5000
Li  0.5000  0.5000  0.0000
H  0.0000  0.0000  0.5000

=====

No. 2
First-principles (PBE) data for a relaxed CaLa2Os2 crystal, as listed in Alexandria via LeMat-Bulk.

Computed properties:
Total magnetic moment ... 0.00 μB/cell
DFT total energy ... -6.529 eV/atom
ΔH_f (0 K) ... 7.72 kcal/mol of atoms
V ... 30.41 Å³ per atom

a = 3.6513 Å, b = 3.6513 Å, c = 22.8131 Å
α = 90.00°, β = 90.00°, γ = 90.00°
Space group I4/mmm (No. 139)
Asymmetric unit:
Ca  0.0000  0.0000  0.0000
La  0.0000  0.0000  0.3594
Os  0.0000  0.5000  0.2500

=====

No. 3
First-principles (PBE) data for a relaxed YMgTe2 crystal, as listed in Alexandria via LeMat-Bulk.

Computed properties:
ΔE_f (raw) ... -3.2 eV per formula unit
Total magnetic moment ... 0.00 μB/cell
DFT total energy ... -4.381 eV/atom
V ... 37.71 Å³ per atom

a = 4.3690 Å, b = 4.3690 Å, c = 27.3770 Å
α = 90.00°, β = 90.00°, γ = 120.00°
Space group R-3m (No. 166, hexagonal axes)
Asymmetric unit:
Y  0.0000  0.0000  0.0000
Mg  0.0000  0.0000  0.5000
Te  0.0000  0.0000  0.3976

=====

No. 4
First-principles (PBE) data for a relaxed Tb3Cd2Hg7 crystal, as listed in Alexandria via LeMat-Bulk.

Computed properties:
Total magnetic moment ... 0.00 μB/cell
DFT total energy ... -1.717 eV/atom
ΔH_f (0 K) ... -5.31 kcal/mol of atoms
V ... 25.54 Å³ per atom

a = 5.0478 Å, b = 3.6447 Å, c = 16.8294 Å
α = 90.00°, β = 98.22°, γ = 90.00°
Space group P2/m (No. 10)
Asymmetric unit:
Tb  0.0000  0.0000  0.0000
Tb  0.3094  0.5000  0.6206
Cd  0.1445  0.0000  0.2901
Hg  0.0724  0.5000  0.1469
Hg  0.2294  0.0000  0.4576
Hg  0.3971  0.0000  0.7950
Hg  0.5000  0.5000  0.0000

=====

No. 5
First-principles (PBE) data for a relaxed NbVW6 crystal, as listed in Alexandria via LeMat-Bulk.

Computed properties:
Total magnetic moment ... 0.00 μB/cell
DFT total energy ... -11.994 eV/atom
ΔH_f (0 K) ... 2.76 kcal/mol of atoms
V ... 16.38 Å³ per atom

a = 7.1889 Å, b = 7.1889 Å, c = 8.7817 Å
α = 90.00°, β = 90.00°, γ = 120.00°
Space group R-3 (No. 148, hexagonal axes)
Asymmetric unit:
Nb  0.0000  0.0000  0.0000
V  0.0000  0.0000  0.5000
W  0.0017  0.2507  0.2511

=====

No. 6
First-principles (PBE) data for a relaxed AlSiAu crystal, as listed in Alexandria via LeMat-Bulk.

Computed properties:
ΔE_f (raw) ... -0.1 eV per formula unit
Total magnetic moment ... 0.00 μB/cell
DFT total energy ... -4.184 eV/atom
V ... 19.74 Å³ per atom

a = 4.8484 Å, b = 3.8272 Å, c = 12.7657 Å
α = 90.00°, β = 90.00°, γ = 90.00°
Space group Pnma (No. 62)
Asymmetric unit:
Al  0.0936  0.2500  0.1694
Si  0.1403  0.7500  0.5041
Au  0.2353  0.7500  0.3136

=====

No. 7
First-principles (PBE) data for a relaxed K3PuSb2Se6 crystal, as listed in Alexandria via LeMat-Bulk.

Computed properties:
ΔE_f (raw) ... -11.2 eV per formula unit
Total magnetic moment ... 10.00 μB/cell
DFT total energy ... -4.835 eV/atom
V ... 30.40 Å³ per atom

a = 7.4164 Å, b = 12.8481 Å, c = 8.0457 Å
α = 90.00°, β = 107.89°, γ = 90.00°
Space group C2/m (No. 12)
Asymmetric unit:
K  0.0000  0.0000  0.0000
K  0.0000  0.3319  0.0000
Pu  0.0000  0.5000  0.5000
Sb  0.0000  0.1664  0.5000
Se  0.2334  0.0000  0.7061
Se  0.2360  0.3323  0.7054

=====

No. 8
First-principles (PBE) data for a relaxed LiWSe crystal, as listed in Alexandria via LeMat-Bulk.

Computed properties:
ΔE_f (raw) ... 0.9 eV per formula unit
Total magnetic moment ... 0.00 μB/cell
DFT total energy ... -5.812 eV/atom
V ... 16.30 Å³ per atom

a = 4.2618 Å, b = 4.2618 Å, c = 3.1090 Å
α = 90.00°, β = 90.00°, γ = 120.00°
Space group P-6m2 (No. 187)
Asymmetric unit:
Li  0.0000  0.0000  0.0000
W  0.3333  0.6667  0.5000
Se  0.6667  0.3333  0.5000